BeTc2Ni2 after structural relaxation, computed with PBE.

- Symmetry: P4/mbm, No. 127
- ΔE_f: 40 kJ/mol of formula units
- Crystal system: tetragonal
- Mass density: 8.91 g/cm³
- Density of states at the Fermi level: 2.92 states/eV/f.u.

a b c (Å): 5.445 5.445 4.052
angles (deg): 90.00 90.00 90.00
Element x y z (fractional)
Tc (0.164, 0.664, 0.500)
Be (0.500, 0.500, 0.000)
Ni (0.852, 0.648, 0.000)
Tc (0.336, 0.164, 0.500)
Be (0.000, 0.000, 0.000)
Ni (0.352, 0.852, 0.000)
Ni (0.648, 0.148, 0.000)
Tc (0.836, 0.336, 0.500)
Ni (0.148, 0.352, 0.000)
Tc (0.664, 0.836, 0.500)